Entry 1:
This record from the Alexandria database describes SrMg6Co after structural relaxation. The functional is GGA-PBE.

Structure (CIF):
```
data_SrMg6Co
_chemical_formula_sum 'Sr2 Mg12 Co2'
_cell_length_a 4.8103
_cell_length_b 6.0734
_cell_length_c 13.6389
_cell_angle_alpha 90.00
_cell_angle_beta 90.00
_cell_angle_gamma 90.00
_symmetry_space_group_name_H-M 'A m m 2'
_symmetry_Int_Tables_number 38
_symmetry_space_group_name_Hall 'A 2 -2'
loop_
_atom_site_label
_atom_site_fract_x
_atom_site_fract_y
_atom_site_fract_z
Sr1 0.0000 0.0000 0.0000
Mg1 0.0000 0.2409 0.7401
Mg2 0.5000 0.0000 0.1728
Mg3 0.5000 0.0000 0.5854
Mg4 0.5000 0.2352 0.3752
Co1 0.0000 0.0000 0.3931
```

The total DFT energy (no corrections) comes out at -33.89 eV for the cell shown. As for the energy of formation: 0.18 eV/atom. As for the crystal system: orthorhombic. The density of states at the Fermi level is 12.0 states/eV/cell. The calculation puts the total magnetization at 0.9 μB per formula unit.

***

Entry 2:
This record from the Alexandria database describes SrMgCo3 after structural relaxation. The functional is GGA-PBE.

Structure (CIF):
```
data_SrMgCo3
_chemical_formula_sum 'Sr1 Mg1 Co3'
_cell_length_a 4.7629
_cell_length_b 4.7629
_cell_length_c 4.7629
_cell_angle_alpha 90.00
_cell_angle_beta 90.00
_cell_angle_gamma 90.00
_symmetry_space_group_name_H-M 'P m -3 m'
_symmetry_Int_Tables_number 221
_symmetry_space_group_name_Hall '-P 4 2 3'
loop_
_atom_site_label
_atom_site_fract_x
_atom_site_fract_y
_atom_site_fract_z
Sr1 0.0000 0.0000 0.0000
Mg1 0.5000 0.5000 0.5000
Co1 0.0000 0.0000 0.5000
```

The total DFT energy (no corrections) comes out at -15.12 eV for the cell shown. As for the energy of formation: 1.89 eV/atom. As for the crystal system: cubic. The density of states at the Fermi level is 17.4 states/eV/cell. The calculation puts the total magnetization at 3.4 μB per formula unit. The calculation puts the energy above the most stable polymorph in this dataset at 864 meV/atom.

***

Entry 3:
This record from the Alexandria database describes Sr2MgTaCo after structural relaxation. The functional is GGA-PBE.

Structure (CIF):
```
data_Sr2MgTaCo
_chemical_formula_sum 'Sr2 Mg1 Ta1 Co1'
_cell_length_a 5.4947
_cell_length_b 5.4947
_cell_length_c 4.9214
_cell_angle_alpha 90.00
_cell_angle_beta 90.00
_cell_angle_gamma 90.00
_symmetry_space_group_name_H-M 'P 4/m m m'
_symmetry_Int_Tables_number 123
_symmetry_space_group_name_Hall '-P 4 2'
loop_
_atom_site_label
_atom_site_fract_x
_atom_site_fract_y
_atom_site_fract_z
Sr1 0.0000 0.5000 0.0000
Mg1 0.0000 0.0000 0.5000
Ta1 0.5000 0.5000 0.5000
Co1 0.0000 0.0000 0.0000
```

The total DFT energy (no corrections) comes out at -18.29 eV for the cell shown. As for the energy of formation: 1.13 eV/atom. As for the crystal system: tetragonal. The density of states at the Fermi level is 8.7 states/eV/cell. The calculation puts the total magnetization at 3.5 μB per formula unit.